(1)
PBE InCuRu, optimized geometry; formation energy = 0.258 eV per atom; relative energy among the computed polymorphs = 0.10 eV/f.u.; total moment = 0.64 μB per formula unit; space group = P3m1 (156)
1.0
4.362 0.000 0.000
-2.181 3.778 0.000
0.000 0.000 2.877
In Cu Ru
1 1 1
Cartesian
0.000 0.000 0.000 In
2.181 1.259 2.409 Cu
0.000 2.519 1.296 Ru


(2)
PBE InCuRu2, optimized geometry; formation energy = 0.324 eV per atom; total moment = 0.00 μB per formula unit; space group = R3m (160)
1.0
2.849 0.000 0.000
-1.425 2.467 0.000
0.000 0.000 26.525
In Cu Ru
3 3 6
Cartesian
0.000 0.000 0.000 In
0.000 1.645 17.683 In
1.425 0.822 8.842 In
0.000 0.000 20.012 Cu
0.000 1.645 11.170 Cu
1.425 0.822 2.328 Cu
0.000 0.000 6.469 Ru
0.000 0.000 13.314 Ru
0.000 1.645 4.472 Ru
0.000 1.645 24.153 Ru
1.425 0.822 15.311 Ru
1.425 0.822 22.155 Ru


(3)
PBE InCuRu2, optimized geometry; formation energy = 0.317 eV per atom; total moment = 1.36 μB per formula unit; space group = Immm (71)
1.0
2.967 0.000 0.000
0.000 4.573 0.000
0.000 0.000 9.003
In Cu Ru
2 2 4
Cartesian
0.000 0.000 0.000 In
1.484 2.287 4.502 In
0.000 0.000 4.502 Cu
1.484 2.287 0.000 Cu
0.000 2.287 2.149 Ru
0.000 2.287 6.854 Ru
1.484 0.000 2.353 Ru
1.484 0.000 6.651 Ru


(4)
PBE InCuRu, optimized geometry; formation energy = 0.419 eV per atom; relative energy among the computed polymorphs = 0.59 eV/f.u.; total moment = 0.00 μB per formula unit; space group = F-43m (216)
1.0
5.934 0.000 0.000
0.000 5.934 0.000
0.000 0.000 5.934
In Cu Ru
4 4 4
Cartesian
0.000 0.000 0.000 In
0.000 2.967 2.967 In
2.967 0.000 2.967 In
2.967 2.967 0.000 In
1.483 1.483 1.483 Cu
1.483 4.450 4.450 Cu
4.450 1.483 4.450 Cu
4.450 4.450 1.483 Cu
0.000 0.000 2.967 Ru
0.000 2.967 0.000 Ru
2.967 0.000 0.000 Ru
2.967 2.967 2.967 Ru


(5)
PBE InCuRu4, optimized geometry; formation energy = 0.536 eV per atom; total moment = 2.43 μB per formula unit; space group = F-43m (216)
1.0
0.000 3.636 3.636
3.636 0.000 3.636
3.636 3.636 0.000
In Cu Ru
1 1 4
Cartesian
0.000 0.000 0.000 In
1.818 1.818 1.818 Cu
4.543 2.729 2.729 Ru
2.729 4.543 2.729 Ru
2.729 2.729 4.543 Ru
4.543 4.543 4.543 Ru


(6)
PBE InCuRu2, optimized geometry; formation energy = 0.410 eV per atom; total moment = 0.38 μB per formula unit; space group = R-3m (166)
1.0
2.867 0.000 0.000
-1.433 2.483 0.000
0.000 0.000 25.868
In Cu Ru
3 3 6
Cartesian
0.000 0.000 0.000 In
0.000 1.655 17.245 In
1.433 0.828 8.623 In
0.000 0.000 12.934 Cu
0.000 1.655 4.311 Cu
1.433 0.828 21.556 Cu
0.000 0.000 6.341 Ru
0.000 0.000 19.526 Ru
0.000 1.655 10.904 Ru
0.000 1.655 23.586 Ru
1.433 0.828 2.281 Ru
1.433 0.828 14.964 Ru


(7)
PBE InCuRu2, optimized geometry; formation energy = 0.217 eV per atom; total moment = 0.00 μB per formula unit; space group = Cm (8)
1.0
8.901 0.000 0.000
0.000 2.892 0.000
-0.805 0.000 4.749
In Cu Ru
2 2 4
Cartesian
0.000 0.000 0.000 In
4.450 1.446 0.000 In
2.073 1.446 1.082 Cu
6.523 0.000 1.082 Cu
-0.384 1.446 2.377 Ru
1.631 0.000 3.267 Ru
4.066 0.000 2.377 Ru
6.081 1.446 3.267 Ru


(8)
PBE InCuRu2, optimized geometry; formation energy = 0.334 eV per atom; total moment = 0.00 μB per formula unit; space group = P2/m (10)
1.0
2.816 0.000 0.000
0.000 4.420 0.000
-0.734 0.000 4.943
In Cu Ru
1 1 2
Cartesian
0.000 0.000 0.000 In
1.041 0.000 2.472 Cu
0.292 2.210 3.578 Ru
1.790 2.210 1.365 Ru


(9)
PBE InCuRu2, optimized geometry; formation energy = 0.514 eV per atom; total moment = 1.01 μB per formula unit; space group = Cmmm (65)
1.0
3.052 0.000 0.000
0.000 4.686 0.000
0.000 0.000 8.711
In Cu Ru
2 2 4
Cartesian
0.000 0.000 0.000 In
1.526 2.343 0.000 In
0.000 0.000 4.356 Cu
1.526 2.343 4.356 Cu
0.000 2.343 2.289 Ru
0.000 2.343 6.423 Ru
1.526 0.000 2.289 Ru
1.526 0.000 6.423 Ru


(10)
PBE InCuRu3, optimized geometry; formation energy = 1.345 eV per atom; relative energy among the computed polymorphs = 0.00 eV/f.u.; total moment = 4.82 μB per formula unit; space group = Pm-3m (221)
1.0
4.524 0.000 0.000
0.000 4.524 0.000
0.000 0.000 4.524
In Cu Ru
1 1 3
Cartesian
0.000 0.000 0.000 In
2.262 2.262 2.262 Cu
0.000 2.262 2.262 Ru
2.262 0.000 2.262 Ru
2.262 2.262 0.000 Ru


(11)
PBE InCuRu2, optimized geometry; formation energy = 0.700 eV per atom; total moment = 0.00 μB per formula unit; space group = I-42d (122)
1.0
7.213 0.000 0.000
0.000 7.213 0.000
0.000 0.000 5.078
In Cu Ru
4 4 8
Cartesian
0.000 0.000 0.000 In
0.000 3.606 1.270 In
3.606 0.000 3.809 In
3.606 3.606 2.539 In
0.000 0.000 2.539 Cu
0.000 3.606 3.809 Cu
3.606 0.000 1.270 Cu
3.606 3.606 0.000 Cu
1.631 1.803 3.174 Ru
1.803 5.238 4.443 Ru
1.803 5.581 1.904 Ru
1.975 1.803 0.635 Ru
5.238 5.409 0.635 Ru
5.409 1.631 1.904 Ru
5.409 1.975 4.443 Ru
5.581 5.409 3.174 Ru


(12)
PBE InCuRu2, optimized geometry; formation energy = 0.332 eV per atom; total moment = 1.32 μB per formula unit; space group = Pmmm (47)
1.0
2.982 0.000 0.000
0.000 4.523 0.000
0.000 0.000 4.554
In Cu Ru
1 1 2
Cartesian
0.000 0.000 0.000 In
1.491 0.000 2.277 Cu
0.000 2.262 2.277 Ru
1.491 2.262 0.000 Ru


(13)
PBE InCu4Ru, optimized geometry; formation energy = 0.152 eV per atom; total moment = 0.00 μB per formula unit; space group = F-43m (216)
1.0
0.000 3.448 3.448
3.448 0.000 3.448
3.448 3.448 0.000
In Cu Ru
1 4 1
Cartesian
0.000 0.000 0.000 In
2.590 2.590 2.590 Cu
4.307 4.307 2.590 Cu
4.307 2.590 4.307 Cu
2.590 4.307 4.307 Cu
5.172 5.172 5.172 Ru


(14)
PBE InCuRu2, optimized geometry; formation energy = 0.168 eV per atom; total moment = 0.00 μB per formula unit; space group = Pmm2 (25)
1.0
2.866 0.000 0.000
0.000 3.650 0.000
0.000 0.000 5.848
In Cu Ru
1 1 2
Cartesian
0.000 0.000 0.000 In
1.433 1.825 4.360 Cu
0.000 0.000 2.937 Ru
1.433 1.825 1.735 Ru


(15)
PBE In2CuRuS, optimized geometry; uncorrected formation energy = 0.81 eV per atom; total moment = 0.00 μB per formula unit; space group = P4/mmm (123)
1.0
5.233 0.000 0.000
0.000 5.233 0.000
0.000 0.000 4.041
In Cu Ru S
2 1 1 1
Cartesian
0.000 2.616 0.000 In
2.616 0.000 0.000 In
0.000 0.000 2.020 Cu
2.616 2.616 2.020 Ru
0.000 0.000 0.000 S


(16)
PBE Sc2InCuRu, optimized geometry; formation energy = 0.479 eV per atom; total moment = 0.00 μB per formula unit; space group = P4/mmm (123)
1.0
4.817 0.000 0.000
0.000 4.817 0.000
0.000 0.000 4.640
Sc In Cu Ru
2 1 1 1
Cartesian
0.000 2.408 0.000 Sc
2.408 0.000 0.000 Sc
0.000 0.000 2.320 In
0.000 0.000 0.000 Cu
2.408 2.408 2.320 Ru


(17)
PBE SmInCuRu, optimized geometry; formation energy = -0.110 eV per atom; total moment = 0.00 μB per formula unit; space group = F-43m (216)
1.0
6.749 0.000 0.000
0.000 6.749 0.000
0.000 0.000 6.749
Sm In Cu Ru
4 4 4 4
Cartesian
0.000 0.000 0.000 Sm
0.000 3.375 3.375 Sm
3.375 0.000 3.375 Sm
3.375 3.375 0.000 Sm
0.000 0.000 3.375 In
0.000 3.375 0.000 In
3.375 0.000 0.000 In
3.375 3.375 3.375 In
1.687 1.687 5.062 Cu
1.687 5.062 1.687 Cu
5.062 1.687 1.687 Cu
5.062 5.062 5.062 Cu
1.687 1.687 1.687 Ru
1.687 5.062 5.062 Ru
5.062 1.687 5.062 Ru
5.062 5.062 1.687 Ru


(18)
PBE TaInCuRu, optimized geometry; formation energy = -0.003 eV per atom; total moment = 0.00 μB per formula unit; space group = F-43m (216)
1.0
6.371 0.000 0.000
0.000 6.371 0.000
0.000 0.000 6.371
Ta In Cu Ru
4 4 4 4
Cartesian
0.000 0.000 0.000 Ta
0.000 3.186 3.186 Ta
3.186 0.000 3.186 Ta
3.186 3.186 0.000 Ta
0.000 0.000 3.186 In
0.000 3.186 0.000 In
3.186 0.000 0.000 In
3.186 3.186 3.186 In
1.593 1.593 4.778 Cu
1.593 4.778 1.593 Cu
4.778 1.593 1.593 Cu
4.778 4.778 4.778 Cu
1.593 1.593 1.593 Ru
1.593 4.778 4.778 Ru
4.778 1.593 4.778 Ru
4.778 4.778 1.593 Ru


(19)
PBE TmInCuRu, optimized geometry; formation energy = -0.216 eV per atom; total moment = 0.00 μB per formula unit; space group = F-43m (216)
1.0
6.616 0.000 0.000
0.000 6.616 0.000
0.000 0.000 6.616
Tm In Cu Ru
4 4 4 4
Cartesian
0.000 0.000 0.000 Tm
0.000 3.308 3.308 Tm
3.308 0.000 3.308 Tm
3.308 3.308 0.000 Tm
0.000 0.000 3.308 In
0.000 3.308 0.000 In
3.308 0.000 0.000 In
3.308 3.308 3.308 In
1.654 1.654 1.654 Cu
1.654 4.962 4.962 Cu
4.962 1.654 4.962 Cu
4.962 4.962 1.654 Cu
1.654 1.654 4.962 Ru
1.654 4.962 1.654 Ru
4.962 1.654 1.654 Ru
4.962 4.962 4.962 Ru


(20)
PBE InCuRu2W, optimized geometry; formation energy = 1.479 eV per atom; total moment = 1.33 μB per formula unit; space group = P4/mmm (123)
1.0
4.533 0.000 0.000
0.000 4.533 0.000
0.000 0.000 4.460
In Cu Ru W
1 1 2 1
Cartesian
0.000 0.000 0.000 In
2.267 2.267 2.230 Cu
0.000 2.267 2.230 Ru
2.267 0.000 2.230 Ru
2.267 2.267 0.000 W


(21)
PBE Y4InCu2Ru, optimized geometry; formation energy = -0.352 eV per atom; total moment = 0.00 μB per formula unit; space group = R-3m (166)
1.0
2.511 1.450 8.186
-2.511 1.450 8.186
0.000 -2.899 8.186
Y In Cu Ru
4 1 2 1
Cartesian
0.000 0.000 2.836 Y
0.000 0.000 9.034 Y
0.000 0.000 15.523 Y
0.000 0.000 21.721 Y
0.000 0.000 12.279 In
0.000 0.000 5.974 Cu
0.000 0.000 18.583 Cu
0.000 0.000 0.000 Ru


(22)
PBE Y2InCuRu, optimized geometry; formation energy = 0.111 eV per atom; total moment = 0.00 μB per formula unit; space group = P4/mmm (123)
1.0
5.218 0.000 0.000
0.000 5.218 0.000
0.000 0.000 4.851
Y In Cu Ru
2 1 1 1
Cartesian
0.000 2.609 0.000 Y
2.609 0.000 0.000 Y
0.000 0.000 2.426 In
2.609 2.609 2.426 Cu
2.609 2.609 0.000 Ru


(23)
PBE InCu3S4, optimized geometry; uncorrected formation energy = -0.34 eV per atom; total moment = 0.00 μB per formula unit; space group = Pmn2_1 (31)
1.0
7.582 0.000 0.000
0.000 6.545 0.000
0.000 0.000 6.338
In Cu S
2 6 8
Cartesian
0.000 1.062 0.000 In
3.791 5.483 3.169 In
0.000 5.412 3.171 Cu
1.894 2.197 3.179 Cu
1.898 4.348 0.010 Cu
3.791 1.132 0.002 Cu
5.689 2.197 3.179 Cu
5.685 4.348 0.010 Cu
0.000 1.056 3.824 S
0.000 5.260 0.899 S
1.775 4.297 4.075 S
2.017 2.247 0.907 S
3.791 1.285 4.068 S
3.791 5.489 0.655 S
5.566 2.247 0.907 S
5.808 4.297 4.075 S


(24)
PBE InCuS2, optimized geometry; uncorrected formation energy = -0.49 eV per atom; total moment = 0.00 μB per formula unit; space group = I-42d (122)
1.0
5.574 0.000 0.000
0.000 5.574 0.000
0.000 0.000 11.228
In Cu S
4 4 8
Cartesian
0.000 0.000 0.000 In
0.000 2.787 2.807 In
2.787 0.000 8.421 In
2.787 2.787 5.614 In
0.000 0.000 5.614 Cu
0.000 2.787 8.421 Cu
2.787 0.000 2.807 Cu
2.787 2.787 0.000 Cu
1.228 1.393 7.018 S
1.393 4.015 9.825 S
1.393 4.346 4.211 S
1.559 1.393 1.404 S
4.015 4.180 1.404 S
4.180 1.228 4.211 S
4.180 1.559 9.825 S
4.346 4.180 7.018 S


(25)
PBE In2CuS4, optimized geometry; uncorrected formation energy = -0.38 eV per atom; relative energy among the computed polymorphs = 0.14 eV/f.u.; total moment = 0.00 μB per formula unit; space group = Imma (74)
1.0
-3.586 3.715 5.771
3.586 -3.715 5.771
3.586 3.715 -5.771
In Cu S
4 2 8
Cartesian
0.000 0.000 0.000 In
3.586 1.858 1.713 In
0.000 3.715 0.000 In
0.000 1.858 4.058 In
1.793 1.858 -2.885 Cu
1.793 -1.858 2.885 Cu
3.586 3.388 -3.044 S
3.586 -0.327 3.044 S
1.793 1.858 -0.037 S
5.379 1.858 -0.037 S
-1.793 1.858 5.808 S
1.793 1.858 5.808 S
0.000 4.043 2.727 S
0.000 0.327 8.814 S


(26)
PBE InCuS2, optimized geometry; uncorrected formation energy = -0.40 eV per atom; total moment = 0.00 μB per formula unit; space group = R3m (160)
1.0
3.887 0.000 0.000
-1.943 3.366 0.000
0.000 0.000 18.513
In Cu S
3 3 6
Cartesian
0.000 0.000 0.000 In
0.000 2.244 12.342 In
1.943 1.122 6.171 In
0.000 0.000 15.906 Cu
0.000 2.244 9.736 Cu
1.943 1.122 3.565 Cu
0.000 0.000 4.353 S
0.000 0.000 13.607 S
0.000 2.244 7.436 S
0.000 2.244 16.695 S
1.943 1.122 1.265 S
1.943 1.122 10.524 S


(27)
PBE In5CuS8, optimized geometry; uncorrected formation energy = -0.53 eV per atom; total moment = 0.00 μB per formula unit; space group = F-43m (216)
1.0
0.000 5.416 5.416
5.416 0.000 5.416
5.416 5.416 0.000
In Cu S
5 1 8
Cartesian
0.000 0.000 0.000 In
4.131 4.131 4.131 In
6.702 6.702 4.131 In
6.702 4.131 6.702 In
4.131 6.702 6.702 In
8.125 8.125 8.125 Cu
6.751 4.082 4.082 S
1.455 1.455 1.455 S
3.962 3.962 1.455 S
3.962 1.455 3.962 S
1.455 3.962 3.962 S
4.082 6.751 4.082 S
4.082 4.082 6.751 S
6.751 6.751 6.751 S


(28)
PBE In3CuS, optimized geometry; uncorrected formation energy = 0.07 eV per atom; relative energy among the computed polymorphs = 0.00 eV/f.u.; total moment = 0.00 μB per formula unit; space group = Pm-3m (221)
1.0
5.011 0.000 0.000
0.000 5.011 0.000
0.000 0.000 5.011
In Cu S
3 1 1
Cartesian
0.000 0.000 2.505 In
0.000 2.505 0.000 In
2.505 0.000 0.000 In
0.000 0.000 0.000 Cu
2.505 2.505 2.505 S